[1]
Here is Cd2In6Pb after structural relaxation from the Alexandria database. Energies are from PBE.

As for the crystal system: monoclinic. Its formation energy is 0.050 eV per atom. The value obtained for the raw total energy is -43.0 eV for the cell shown. For the relative energy among the computed polymorphs, the calculation gives 2.3 kJ/mol of atoms.

It has space group C2/m (No. 12), with a = 13.7358 Å, b = 3.4821 Å, c = 12.1012 Å, α = 90.00°, β = 119.76° and γ = 90.00°. The asymmetric unit holds Cd at (0.1642, 0.0000, 0.2718), In at (0.0183, 0.5000, 0.7154), In at (0.1304, 0.0000, 0.5450), In at (0.2333, 0.0000, 0.8791) and Pb at (0.0000, 0.5000, 0.0000).

---

[2]
Here is MnCdTe2 after structural relaxation from the Alexandria database. Energies are from PBE.

As for the crystal system: monoclinic. The value obtained for the raw total energy is -34.0 eV for the cell shown.

It has space group C2/m (No. 12), with a = 7.1935 Å, b = 4.1449 Å, c = 7.4575 Å, α = 90.00°, β = 108.80° and γ = 90.00°. The asymmetric unit holds Mn at (0.0000, 0.0000, 0.0000), Cd at (0.0000, 0.5000, 0.5000) and Te at (0.2407, 0.5000, 0.2255).

---

[3]
Here is La3Y6ErTm2 after structural relaxation from the Alexandria database. Energies are from PBE.

As for the crystal system: monoclinic. Its formation energy is 0.026 eV per atom. The value obtained for the raw total energy is -133.5 eV for the cell shown.

It has space group C2/m (No. 12), with a = 6.2369 Å, b = 10.8045 Å, c = 11.8886 Å, α = 90.00°, β = 100.08° and γ = 90.00°. The asymmetric unit holds La at (0.0000, 0.0000, 0.0000), La at (0.0000, 0.3332, 0.0000), Y at (0.2474, 0.0000, 0.7436), Y at (0.2476, 0.3333, 0.7435), Er at (0.0000, 0.5000, 0.5000) and Tm at (0.0000, 0.1667, 0.5000).

---

[4]
Here is TaTi2HgH after structural relaxation from the Alexandria database. Energies are from PBE.

As for the crystal system: tetragonal. The value obtained for the raw total energy is -31.8 eV for the cell shown.

It has space group P4/mmm (No. 123), with a = 4.2494 Å, b = 4.2494 Å, c = 4.0241 Å, α = 90.00°, β = 90.00° and γ = 90.00°. The asymmetric unit holds Ta at (0.0000, 0.0000, 0.0000), Ti at (0.0000, 0.5000, 0.5000), Hg at (0.5000, 0.5000, 0.0000) and H at (0.0000, 0.0000, 0.5000).

---

[5]
Here is AcUSe4 after structural relaxation from the Alexandria database. Energies are from PBE.

As for the crystal system: orthorhombic. The value obtained for the raw total energy is -74.6 eV for the cell shown. For the relative energy among the computed polymorphs, the calculation gives 0.0 kJ/mol of atoms.

It has space group Cmmm (No. 65), with a = 9.6261 Å, b = 9.7639 Å, c = 4.4333 Å, α = 90.00°, β = 90.00° and γ = 90.00°. The asymmetric unit holds Ac at (0.0000, 0.0000, 0.0000), U at (0.0000, 0.5000, 0.5000), Se at (0.0000, 0.3227, 0.0000) and Se at (0.2177, 0.0000, 0.5000).

---

[6]
Here is LiPaMnS4 after structural relaxation from the Alexandria database. Energies are from PBE.

As for the crystal system: orthorhombic. The value obtained for the raw total energy is -183.0 eV for the cell shown.

It has space group Imma (No. 74), with a = 7.4744 Å, b = 8.1656 Å, c = 10.2810 Å, α = 90.00°, β = 90.00° and γ = 90.00°. The asymmetric unit holds Li at (0.0000, 0.2500, 0.1543), Pa at (0.0000, 0.0000, 0.5000), Mn at (0.2500, 0.2500, 0.7500), S at (0.0000, 0.0353, 0.7520) and S at (0.2337, 0.2500, 0.4945).

---

[7]
Here is Zr3ZnGe2 after structural relaxation from the Alexandria database. Energies are from PBE.

As for the crystal system: orthorhombic. Its formation energy is -0.618 eV per atom. The value obtained for the raw total energy is -159.4 eV for the cell shown.

It has space group Pnma (No. 62), with a = 11.0996 Å, b = 3.9543 Å, c = 10.4371 Å, α = 90.00°, β = 90.00° and γ = 90.00°. The asymmetric unit holds Zr at (0.0406, 0.2500, 0.1189), Zr at (0.1268, 0.7500, 0.5736), Zr at (0.2063, 0.2500, 0.7997), Zn at (0.1323, 0.2500, 0.3752), Ge at (0.0190, 0.7500, 0.3117) and Ge at (0.1888, 0.7500, 0.0153).

---

[8]
Here is Tb2LuPb after structural relaxation from the Alexandria database. Energies are from PBE.

As for the crystal system: tetragonal. Its formation energy is -0.183 eV per atom. The value obtained for the raw total energy is -18.2 eV for the cell shown. For the relative energy among the computed polymorphs, the calculation gives 8.1 kJ/mol of atoms.

It has space group P4/mmm (No. 123), with a = 3.8958 Å, b = 3.8958 Å, c = 7.9131 Å, α = 90.00°, β = 90.00° and γ = 90.00°. The asymmetric unit holds Tb at (0.0000, 0.0000, 0.2375), Lu at (0.5000, 0.5000, 0.5000) and Pb at (0.5000, 0.5000, 0.0000).